This record from the Alexandria database describes crystalline CeEuAgAu at its relaxed geometry. The functional is PBE-GGA.

Cell: 7.123 7.123 7.123 Å, 90.00 90.00 90.00°
Space group F-43m (No. 216)
Inequivalent atoms, fractional coordinates:
Ce1 0.000 0.000 0.000 [4 per cell]
Eu1 0.250 0.250 0.250 [4 per cell]
Ag1 0.000 0.000 0.500 [4 per cell]
Au1 0.250 0.250 0.750 [4 per cell]

Computed properties:
calculated formation energy = -0.33 eV/atom
calculated volume = 361.40 Å³ per cell
crystal system = cubic
D(E_F) = 19.93 states/eV per cell
calculated total energy = -5.9120 eV/atom

This record from the Alexandria database describes crystalline AlRu2Cl2 at its relaxed geometry. The functional is PBE-GGA.

Cell: 3.918 3.918 11.355 Å, 90.00 90.00 90.00°
Space group I4/mmm (No. 139)
Inequivalent atoms, fractional coordinates:
Al1 0.000 0.000 0.000 [2 per cell]
Ru1 0.000 0.000 0.398 [4 per cell]
Cl1 0.000 0.500 0.250 [4 per cell]

Computed properties:
calculated volume = 174.29 Å³ per cell
crystal system = tetragonal
distance to the lowest polymorph of the same formula = 381 meV per atom
D(E_F) = 7.08 states/eV per cell
calculated total energy = -4.6470 eV/atom
ΔE_f (raw) = 0.55 eV per atom

This record from the Alexandria database describes crystalline Ac4CuAg3 at its relaxed geometry. The functional is PBE-GGA.

Cell: 4.298 4.945 11.736 Å, 90.00 90.00 90.00°
Space group Pmm2 (No. 25)
Inequivalent atoms, fractional coordinates:
Ac1 0.000 0.000 0.000 [1 per cell]
Ac2 0.000 0.500 0.274 [1 per cell]
Ac3 0.500 0.000 0.485 [1 per cell]
Ac4 0.500 0.500 0.778 [1 per cell]
Cu1 0.500 0.000 0.204 [1 per cell]
Ag1 0.000 0.000 0.707 [1 per cell]
Ag2 0.000 0.500 0.560 [1 per cell]
Ag3 0.500 0.500 0.066 [1 per cell]

Computed properties:
calculated formation energy = -0.23 eV/atom
calculated volume = 249.44 Å³ per cell
crystal system = orthorhombic
D(E_F) = 7.28 states/eV per cell
calculated total energy = -3.8639 eV/atom

This record from the Alexandria database describes crystalline LiPmSm2S5 at its relaxed geometry. The functional is PBE-GGA.

Cell: 3.984 16.549 11.954 Å, 90.00 90.00 90.00°
Space group Cmc2_1 (No. 36)
Inequivalent atoms, fractional coordinates:
Li1 0.000 0.012 0.000 [4 per cell]
Pm1 0.000 0.304 0.516 [4 per cell]
Sm1 0.000 0.378 0.812 [4 per cell]
Sm2 0.000 0.391 0.200 [4 per cell]
S1 0.000 0.001 0.802 [4 per cell]
S2 0.000 0.135 0.516 [4 per cell]
S3 0.000 0.191 0.853 [4 per cell]
S4 0.000 0.211 0.181 [4 per cell]
S5 0.000 0.456 0.591 [4 per cell]

Computed properties:
calculated volume = 788.12 Å³ per cell
crystal system = orthorhombic
calculated total energy = -5.9604 eV/atom
ΔE_f (raw) = -1.88 eV per atom

This record from the Alexandria database describes crystalline CrCd2Au at its relaxed geometry. The functional is PBE-GGA.

Cell: 3.0763 3.0763 28.2808 Å, 90.00 90.00 120.00°
Space group R-3m (No. 166, hexagonal axes)
Inequivalent atoms, fractional coordinates:
Cr1 0.0000 0.0000 0.0000 [3 per cell]
Cd1 0.0000 0.0000 0.2512 [6 per cell]
Au1 0.0000 0.0000 0.5000 [3 per cell]

Computed properties:
calculated formation energy = 0.25 eV/atom
calculated volume = 231.78 Å³ per cell
crystal system = trigonal
distance to the lowest polymorph of the same formula = 152 meV per atom
D(E_F) = 7.66 states/eV per cell
calculated total energy = -3.4301 eV/atom

This record from the Alexandria database describes crystalline Th2AgPb at its relaxed geometry. The functional is PBE-GGA.

Cell: 3.4664 3.4664 35.0531 Å, 90.00 90.00 120.00°
Space group R-3m (No. 166, hexagonal axes)
Inequivalent atoms, fractional coordinates:
Th1 0.0000 0.0000 0.0943 [6 per cell]
Ag1 0.0000 0.0000 0.5000 [3 per cell]
Pb1 0.0000 0.0000 0.0000 [3 per cell]

Computed properties:
calculated formation energy = 0.18 eV/atom
calculated volume = 364.76 Å³ per cell
crystal system = trigonal
D(E_F) = 16.83 states/eV per cell
calculated total energy = -5.1711 eV/atom

This record from the Alexandria database describes crystalline NaDySnPb at its relaxed geometry. The functional is PBE-GGA.

Cell: 7.612 7.612 7.612 Å, 90.00 90.00 90.00°
Space group F-43m (No. 216)
Inequivalent atoms, fractional coordinates:
Na1 0.000 0.000 0.000 [4 per cell]
Dy1 0.000 0.000 0.500 [4 per cell]
Sn1 0.250 0.250 0.750 [4 per cell]
Pb1 0.250 0.250 0.250 [4 per cell]

Computed properties:
calculated formation energy = -0.28 eV/atom
calculated volume = 441.12 Å³ per cell
crystal system = cubic
D(E_F) = 10.74 states/eV per cell
calculated total energy = -3.6922 eV/atom

This record from the Alexandria database describes crystalline Tb4TeSe2S at its relaxed geometry. The functional is PBE-GGA.

Cell: 7.161 4.104 7.218 Å, 90.00 109.23 90.00°
Space group P2/m (No. 10)
Inequivalent atoms, fractional coordinates:
Tb1 0.239 0.000 0.219 [2 per cell]
Tb2 0.258 0.500 0.784 [2 per cell]
Te1 0.000 0.000 0.500 [1 per cell]
Se1 0.500 0.000 0.000 [1 per cell]
Se2 0.500 0.500 0.500 [1 per cell]
S1 0.000 0.500 0.000 [1 per cell]

Computed properties:
calculated volume = 200.29 Å³ per cell
crystal system = monoclinic
D(E_F) = 2.96 states/eV per cell
calculated total energy = -5.7884 eV/atom
ΔE_f (raw) = -1.69 eV per atom

This record from the Alexandria database describes crystalline CeZr3N at its relaxed geometry. The functional is PBE-GGA.

Cell: 4.634 4.634 4.634 Å, 90.00 90.00 90.00°
Space group Pm-3m (No. 221)
Inequivalent atoms, fractional coordinates:
Ce1 0.000 0.000 0.000 [1 per cell]
Zr1 0.000 0.500 0.500 [3 per cell]
N1 0.500 0.500 0.500 [1 per cell]

Computed properties:
calculated volume = 99.49 Å³ per cell
crystal system = cubic
D(E_F) = 7.38 states/eV per cell
calculated total energy = -8.4796 eV/atom
ΔE_f (raw) = -0.50 eV per atom

This record from the Alexandria database describes crystalline DyPa2Ru at its relaxed geometry. The functional is PBE-GGA.

Cell: 3.6489 3.6489 26.9551 Å, 90.00 90.00 120.00°
Space group R-3m (No. 166, hexagonal axes)
Inequivalent atoms, fractional coordinates:
Dy1 0.0000 0.0000 0.0000 [3 per cell]
Pa1 0.0000 0.0000 0.2315 [6 per cell]
Ru1 0.0000 0.0000 0.5000 [3 per cell]

Computed properties:
calculated formation energy = -0.01 eV/atom
calculated volume = 310.82 Å³ per cell
crystal system = trigonal
distance to the lowest polymorph of the same formula = 46 meV per atom
D(E_F) = 21.01 states/eV per cell
calculated total energy = -8.2294 eV/atom

This record from the Alexandria database describes crystalline Li3Hg12Bi5 at its relaxed geometry. The functional is PBE-GGA.

Cell: 17.099 17.099 17.099 Å, 90.00 90.00 90.00°
Space group Ia-3d (No. 230)
Inequivalent atoms, fractional coordinates:
Li1 0.000 0.250 0.125 [24 per cell]
Hg1 0.014 0.089 0.654 [96 per cell]
Bi1 0.000 0.000 0.000 [16 per cell]
Bi2 0.000 0.250 0.375 [24 per cell]

Computed properties:
calculated formation energy = 0.11 eV/atom
calculated volume = 4999.38 Å³ per cell
crystal system = cubic
D(E_F) = 133.77 states/eV per cell
calculated total energy = -1.3298 eV/atom

This record from the Alexandria database describes crystalline NaCF4 at its relaxed geometry. The functional is PBE-GGA.

Cell: 4.074 5.979 6.543 Å, 90.00 91.29 90.00°
Space group P2_1/m (No. 11)
Inequivalent atoms, fractional coordinates:
Na1 0.221 0.250 0.162 [2 per cell]
C1 0.331 0.250 0.743 [2 per cell]
F1 0.220 0.250 0.548 [2 per cell]
F2 0.268 0.525 0.809 [4 per cell]
F3 0.341 0.750 0.257 [2 per cell]

Computed properties:
calculated volume = 159.35 Å³ per cell
crystal system = monoclinic
calculated total energy = -4.4837 eV/atom
ΔE_f (raw) = -1.48 eV per atom

This record from the Alexandria database describes crystalline Sm2Dy6YTm3 at its relaxed geometry. The functional is PBE-GGA.

Cell: 6.143 10.629 11.748 Å, 90.00 99.99 90.00°
Space group C2/m (No. 12)
Inequivalent atoms, fractional coordinates:
Sm1 0.000 0.167 0.000 [4 per cell]
Dy1 0.248 0.167 0.747 [8 per cell]
Dy2 0.248 0.500 0.746 [4 per cell]
Y1 0.000 0.500 0.000 [2 per cell]
Tm1 0.000 0.000 0.500 [2 per cell]
Tm2 0.000 0.334 0.500 [4 per cell]

Computed properties:
calculated formation energy = 0.02 eV/atom
calculated volume = 755.46 Å³ per cell
crystal system = monoclinic
D(E_F) = 32.08 states/eV per cell
calculated total energy = -4.7241 eV/atom

This record from the Alexandria database describes crystalline CaDyMgCd at its relaxed geometry. The functional is PBE-GGA.

Cell: 7.627 7.627 7.627 Å, 90.00 90.00 90.00°
Space group F-43m (No. 216)
Inequivalent atoms, fractional coordinates:
Ca1 0.000 0.000 0.000 [4 per cell]
Dy1 0.000 0.000 0.500 [4 per cell]
Mg1 0.250 0.250 0.750 [4 per cell]
Cd1 0.250 0.250 0.250 [4 per cell]

Computed properties:
calculated formation energy = -0.20 eV/atom
calculated volume = 443.62 Å³ per cell
crystal system = cubic
distance to the lowest polymorph of the same formula = 7 meV per atom
D(E_F) = 14.89 states/eV per cell
calculated total energy = -2.4779 eV/atom

This record from the Alexandria database describes crystalline Cd2SiO at its relaxed geometry. The functional is PBE-GGA.

Cell: 6.112 6.112 9.025 Å, 90.00 90.00 90.00°
Space group I-42d (No. 122)
Inequivalent atoms, fractional coordinates:
Cd1 0.191 0.250 0.125 [8 per cell]
Si1 0.000 0.000 0.500 [4 per cell]
O1 0.000 0.000 0.000 [4 per cell]

Computed properties:
calculated volume = 337.15 Å³ per cell
crystal system = tetragonal
distance to the lowest polymorph of the same formula = 0 meV per atom
D(E_F) = 4.99 states/eV per cell
calculated total energy = -3.1448 eV/atom
ΔE_f (raw) = -0.09 eV per atom

This record from the Alexandria database describes crystalline Ca2CdGaH at its relaxed geometry. The functional is PBE-GGA.

Cell: 5.116 5.116 4.022 Å, 90.00 90.00 90.00°
Space group P4/mmm (No. 123)
Inequivalent atoms, fractional coordinates:
Ca1 0.000 0.500 0.000 [2 per cell]
Cd1 0.000 0.000 0.500 [1 per cell]
Ga1 0.500 0.500 0.500 [1 per cell]
H1 0.500 0.500 0.000 [1 per cell]

Computed properties:
calculated volume = 105.28 Å³ per cell
crystal system = tetragonal
distance to the lowest polymorph of the same formula = 2 meV per atom
D(E_F) = 2.33 states/eV per cell
calculated total energy = -2.5741 eV/atom

This record from the Alexandria database describes crystalline Sr2TbPuS4 at its relaxed geometry. The functional is PBE-GGA.

Cell: 7.061 4.077 7.192 Å, 90.00 109.19 90.00°
Space group P2/m (No. 10)
Inequivalent atoms, fractional coordinates:
Sr1 0.000 0.000 0.000 [1 per cell]
Sr2 0.500 0.500 0.000 [1 per cell]
Tb1 0.000 0.500 0.500 [1 per cell]
Pu1 0.500 0.000 0.500 [1 per cell]
S1 0.240 0.000 0.731 [2 per cell]
S2 0.254 0.500 0.269 [2 per cell]

Computed properties:
calculated volume = 195.55 Å³ per cell
crystal system = monoclinic
D(E_F) = 11.89 states/eV per cell
calculated total energy = -6.8180 eV/atom
ΔE_f (raw) = -1.96 eV per atom

This record from the Alexandria database describes crystalline NaCa2Te at its relaxed geometry. The functional is PBE-GGA.

Cell: 4.100 4.100 7.682 Å, 90.00 90.00 90.00°
Space group P4/mmm (No. 123)
Inequivalent atoms, fractional coordinates:
Na1 0.000 0.000 0.000 [1 per cell]
Ca1 0.500 0.500 0.268 [2 per cell]
Te1 0.000 0.000 0.500 [1 per cell]

Computed properties:
calculated volume = 129.13 Å³ per cell
crystal system = tetragonal
D(E_F) = 2.20 states/eV per cell
calculated total energy = -2.7515 eV/atom
ΔE_f (raw) = -0.64 eV per atom

This record from the Alexandria database describes crystalline Mo2RuW at its relaxed geometry. The functional is PBE-GGA.

Cell: 6.290 6.290 6.290 Å, 90.00 90.00 90.00°
Space group Fm-3m (No. 225)
Inequivalent atoms, fractional coordinates:
Mo1 0.250 0.250 0.250 [8 per cell]
Ru1 0.000 0.000 0.000 [4 per cell]
W1 0.000 0.000 0.500 [4 per cell]

Computed properties:
calculated formation energy = 0.18 eV/atom
calculated volume = 248.90 Å³ per cell
crystal system = cubic
distance to the lowest polymorph of the same formula = 74 meV per atom
D(E_F) = 19.89 states/eV per cell
calculated total energy = -10.7894 eV/atom

This record from the Alexandria database describes crystalline BaBi2As2 at its relaxed geometry. The functional is PBE-GGA.

Cell: 9.015 9.015 4.039 Å, 90.00 90.00 90.00°
Space group P4/mbm (No. 127)
Inequivalent atoms, fractional coordinates:
Ba1 0.000 0.000 0.000 [2 per cell]
Bi1 0.170 0.330 0.500 [4 per cell]
As1 0.177 0.677 0.000 [4 per cell]

Computed properties:
calculated formation energy = -0.28 eV/atom
calculated volume = 328.24 Å³ per cell
crystal system = tetragonal
distance to the lowest polymorph of the same formula = 115 meV per atom
D(E_F) = 5.89 states/eV per cell
calculated total energy = -4.0783 eV/atom